15
Lattice="-4.8461 -2.6564 0.6860 4.2188 -2.5327 -2.6075 2.2049 -2.4793 5.9756" Properties=species:S:1:pos:R:3 comment="K3CrRe2O9 | the Alexandria database | PBE with a Hubbard U | relaxed" m_tot_mub_per_cell=1.78 volume_a3_per_cell=183.6 final_energy_ev_per_fu=-106.3 pbc="T T T"
O 1.0246 -4.6610 0.2383
Re 1.5756 -2.9994 -0.4841
O -1.8159 -4.3058 4.1512
O -2.4231 -1.3282 0.3430
Cr 1.1025 -1.2396 2.9878
K 0.0000 0.0000 0.0000
O 2.1094 -1.2663 -1.3037
Re 0.0020 -4.6689 4.5382
K -1.0814 -3.4507 1.6020
O 0.5531 -3.0073 3.8159
O -0.3136 -2.5945 -0.9607
O 0.2464 -5.5439 2.8766
O 3.3935 -3.3625 -0.0970
K 2.6590 -4.2176 2.4521
O 1.3312 -2.1245 1.1776